# Ba2In2Si

Crystalline Ba2In2Si at its relaxed geometry (GGA-PBE, Alexandria via LeMat-Bulk).

Cell lengths 7.7445, 7.7445, 5.5559 Å; angles 90.00, 90.00, 90.00 degrees
Atoms (fractional coordinates):
Ba  0.1772  0.3228  0.0000
Ba  0.3228  0.8228  0.0000
Ba  0.6772  0.1772  0.0000
Ba  0.8228  0.6772  0.0000
In  0.1362  0.6362  0.5000
In  0.3638  0.1362  0.5000
In  0.6362  0.8638  0.5000
In  0.8638  0.3638  0.5000
Si  0.0000  0.0000  0.5000
Si  0.5000  0.5000  0.5000

Calculated values
Total magnetization (Bohr magnetons per cell): 0.00
ΔE_f (raw) (meV/atom): -175.1
Total DFT energy (no corrections) (eV/atom): -3.12
Density of states at the Fermi level (states/eV per atom): 0.67


# BaInSi2

Crystalline BaInSi2 at its relaxed geometry (GGA-PBE, Alexandria via LeMat-Bulk).

Cell lengths 5.3052, 5.3052, 5.3052 Å; angles 60.00, 60.00, 60.00 degrees
Atoms (fractional coordinates):
Ba  0.0000  0.0000  0.0000
In  0.7500  0.7500  0.7500
Si  0.2500  0.2500  0.2500
Si  0.5000  0.5000  0.5000

Calculated values
Total magnetization (Bohr magnetons per cell): 0.00
ΔE_f (raw) (meV/atom): 329.1
Total DFT energy (no corrections) (eV/atom): -3.55
Density of states at the Fermi level (states/eV per atom): 0.59


# BaInSi2

Crystalline BaInSi2 at its relaxed geometry (GGA-PBE, Alexandria via LeMat-Bulk).

Cell lengths 4.8087, 4.8087, 4.4415 Å; angles 90.17, 90.17, 89.73 degrees
Atoms (fractional coordinates):
Ba  0.0000  0.0000  0.0000
In  0.5000  0.5000  0.0000
Si  0.0000  0.5000  0.5000
Si  0.5000  0.0000  0.5000

Calculated values
Total magnetization (Bohr magnetons per cell): 0.00
ΔE_f (raw) (meV/atom): 192.1
Total DFT energy (no corrections) (eV/atom): -3.68
Density of states at the Fermi level (states/eV per atom): 0.60


# Ba2InSi

Crystalline Ba2InSi at its relaxed geometry (GGA-PBE, Alexandria via LeMat-Bulk).

Cell lengths 4.5547, 6.8955, 6.8955 Å; angles 43.36, 90.00, 90.00 degrees
Atoms (fractional coordinates):
Ba  0.0000  0.0000  0.0000
Ba  0.5000  0.2821  0.2821
In  0.0000  0.6977  0.6977
Si  0.5000  0.5719  0.5719

Calculated values
Total magnetization (Bohr magnetons per cell): 0.00
ΔE_f (raw) (meV/atom): -368.2
Total DFT energy (no corrections) (eV/atom): -3.37
Density of states at the Fermi level (states/eV per atom): 0.83


# BaInSi2

Crystalline BaInSi2 at its relaxed geometry (GGA-PBE, Alexandria via LeMat-Bulk).

Cell lengths 4.5275, 4.5275, 6.9995 Å; angles 107.10, 107.10, 54.04 degrees
Atoms (fractional coordinates):
Ba  0.0000  0.0000  0.0000
In  0.1975  0.1975  0.6042
Si  0.4548  0.4548  0.3702
Si  0.7667  0.7667  0.3377

Calculated values
Total magnetization (Bohr magnetons per cell): 0.00
ΔE_f (raw) (meV/atom): -91.8
Total DFT energy (no corrections) (eV/atom): -3.97
Density of states at the Fermi level (states/eV per atom): 0.37


# Ba2InSi

Crystalline Ba2InSi at its relaxed geometry (GGA-PBE, Alexandria via LeMat-Bulk).

Cell lengths 4.7613, 4.7613, 9.7440 Å; angles 99.81, 99.81, 48.50 degrees
Atoms (fractional coordinates):
Ba  0.2364  0.2364  0.2106
Ba  0.7636  0.7636  0.7894
In  0.0000  0.0000  0.5000
Si  0.5000  0.5000  0.0000

Calculated values
Total magnetization (Bohr magnetons per cell): 0.00
ΔE_f (raw) (meV/atom): -23.8
Total DFT energy (no corrections) (eV/atom): -3.03
Density of states at the Fermi level (states/eV per atom): 1.42


# Ba2InSi

Crystalline Ba2InSi at its relaxed geometry (GGA-PBE, Alexandria via LeMat-Bulk).

Cell lengths 10.4346, 10.4346, 10.4346 Å; angles 23.73, 23.73, 23.73 degrees
Atoms (fractional coordinates):
Ba  0.2391  0.2391  0.2391
Ba  0.7609  0.7609  0.7609
In  0.0000  0.0000  0.0000
Si  0.5000  0.5000  0.5000

Calculated values
Total magnetization (Bohr magnetons per cell): 0.21
ΔE_f (raw) (meV/atom): -17.0
Total DFT energy (no corrections) (eV/atom): -3.02
Density of states at the Fermi level (states/eV per atom): 0.80


# BaIn4Si

Crystalline BaIn4Si at its relaxed geometry (GGA-PBE, Alexandria via LeMat-Bulk).

Cell lengths 6.2813, 6.2813, 6.2813 Å; angles 60.00, 60.00, 60.00 degrees
Atoms (fractional coordinates):
Ba  0.0000  0.0000  0.0000
In  0.1286  0.6238  0.6238
In  0.6238  0.1286  0.6238
In  0.6238  0.6238  0.1286
In  0.6238  0.6238  0.6238
Si  0.2500  0.2500  0.2500

Calculated values
Total magnetization (Bohr magnetons per cell): 0.00
ΔE_f (raw) (meV/atom): 104.2
Total DFT energy (no corrections) (eV/atom): -2.95
Density of states at the Fermi level (states/eV per atom): 0.88


# BaIn2Si

Crystalline BaIn2Si at its relaxed geometry (GGA-PBE, Alexandria via LeMat-Bulk).

Cell lengths 6.7709, 6.7709, 3.5697 Å; angles 104.36, 104.36, 121.79 degrees
Atoms (fractional coordinates):
Ba  0.0000  0.0000  0.0000
In  0.0000  0.5000  0.5000
In  0.5000  0.0000  0.5000
Si  0.5000  0.5000  0.0000

Calculated values
Total magnetization (Bohr magnetons per cell): 0.00
ΔE_f (raw) (meV/atom): 133.1
Total DFT energy (no corrections) (eV/atom): -3.07
Density of states at the Fermi level (states/eV per atom): 0.77


# BaInSi2

Crystalline BaInSi2 at its relaxed geometry (GGA-PBE, Alexandria via LeMat-Bulk).

Cell lengths 6.8493, 6.8493, 6.8493 Å; angles 147.05, 140.30, 52.52 degrees
Atoms (fractional coordinates):
Ba  0.0000  0.0000  0.0000
In  0.2803  0.7803  0.5000
Si  0.6313  0.6313  0.0000
Si  0.7530  0.2530  0.5000

Calculated values
Total magnetization (Bohr magnetons per cell): 0.00
ΔE_f (raw) (meV/atom): -142.5
Total DFT energy (no corrections) (eV/atom): -4.02
Density of states at the Fermi level (states/eV per atom): 0.29


# BaIn2Si

Crystalline BaIn2Si at its relaxed geometry (GGA-PBE, Alexandria via LeMat-Bulk).

Cell lengths 6.1608, 6.1608, 3.4967 Å; angles 90.00, 90.00, 117.41 degrees
Atoms (fractional coordinates):
Ba  0.0000  0.0000  0.0000
In  0.0000  0.5000  0.5000
In  0.5000  0.0000  0.5000
Si  0.5000  0.5000  0.0000

Calculated values
Total magnetization (Bohr magnetons per cell): 0.00
ΔE_f (raw) (meV/atom): 172.3
Total DFT energy (no corrections) (eV/atom): -3.03
Density of states at the Fermi level (states/eV per atom): 0.67


# BaIn2Si

Crystalline BaIn2Si at its relaxed geometry (GGA-PBE, Alexandria via LeMat-Bulk).

Cell lengths 6.0538, 6.0538, 6.0538 Å; angles 133.26, 133.26, 68.24 degrees
Atoms (fractional coordinates):
Ba  0.0000  0.0000  0.0000
In  0.2500  0.7500  0.5000
In  0.7500  0.2500  0.5000
Si  0.5000  0.5000  0.0000

Calculated values
Total magnetization (Bohr magnetons per cell): 0.00
ΔE_f (raw) (meV/atom): 8.5
Total DFT energy (no corrections) (eV/atom): -3.20
Density of states at the Fermi level (states/eV per atom): 0.52